Entry 1:
A geometry-optimized Tl2CrBr structure, computed with PBE-GGA.

Values from the calculation:
Its polymorph energy (0 for the lowest one) is 0.92 eV per formula unit. The space group is No. 122.

Cell lengths 4.4215, 4.4215, 12.1739 Å; angles 79.54, 79.54, 90.00 degrees
Last column: nearest neighbours and their distance in Å.
Fractional coordinates of all 8 atoms:
1 Cr 0.5000 0.5000 0.0000  4 Br 3.13, 4 Tl 3.33
2 Cr 0.2500 0.7500 0.5000  4 Br 3.13, 4 Tl 3.33
3 Tl 0.3750 0.3732 0.7500  4 Tl 3.12-3.14, 2 Br 3.33, 2 Cr 3.33
4 Tl 0.6268 0.1250 0.2500  4 Tl 3.12-3.14, 2 Br 3.33, 2 Cr 3.33
5 Tl 0.1232 0.6250 0.2500  4 Tl 3.12-3.14, 2 Br 3.33, 2 Cr 3.33
6 Tl 0.8750 0.8768 0.7500  4 Tl 3.12-3.14, 2 Br 3.33, 2 Cr 3.33
7 Br 0.0000 0.0000 0.0000  4 Cr 3.13, 4 Tl 3.33
8 Br 0.7500 0.2500 0.5000  4 Cr 3.13, 4 Tl 3.33

=====

Entry 2:
A geometry-optimized Tl3CrBr6 structure, computed with PBE-GGA.

Values from the calculation:
Its polymorph energy (0 for the lowest one) is 0.53 eV per formula unit. The space group is No. 69.

Cell lengths 7.4022, 7.4022, 8.2729 Å; angles 111.02, 111.02, 101.44 degrees
Last column: nearest neighbours and their distance in Å.
Fractional coordinates of all 10 atoms:
1 Br 0.7782 0.2218 0.0000  1 Cr 2.54
2 Br 0.6790 0.6790 0.7395  1 Cr 2.52
3 Br 0.2218 0.7782 0.0000  1 Cr 2.54
4 Br 0.9395 0.9395 0.2605  1 Cr 2.52
5 Br 0.3210 0.3210 0.2605  1 Cr 2.52
6 Br 0.0605 0.0605 0.7395  1 Cr 2.52
7 Cr 0.0000 0.0000 0.0000  6 Br 2.52-2.54
8 Tl 0.2500 0.7500 0.5000  4 Br 3.34
9 Tl 0.5000 0.5000 0.0000  6 Br 3.19-3.40
10 Tl 0.7500 0.2500 0.5000  4 Br 3.34

=====

Entry 3:
A geometry-optimized Tl2CrBr structure, computed with PBE-GGA.

Values from the calculation:
Its polymorph energy (0 for the lowest one) is 0.65 eV per formula unit. The space group is No. 10.

Cell lengths 5.9339, 3.7139, 6.3514 Å; angles 56.42, 90.00, 90.00 degrees
Last column: nearest neighbours and their distance in Å.
Fractional coordinates of all 4 atoms:
1 Tl 0.0000 0.7298 0.5034  4 Tl 3.14-3.40, 2 Cr 3.38, 2 Br 3.42
2 Tl 0.0000 0.7702 0.9966  4 Tl 3.14-3.40, 2 Cr 3.38, 2 Br 3.42
3 Br 0.5000 0.2500 0.2500  2 Cr 2.65
4 Cr 0.5000 0.7500 0.7500  2 Br 2.65

=====

Entry 4:
A geometry-optimized TlCr2Br structure, computed with PBE-GGA.

Values from the calculation:
Its polymorph energy (0 for the lowest one) is 1.46 eV per formula unit. The space group is No. 47.

Cell lengths 3.3925, 6.1237, 4.5190 Å; angles 90.00, 90.00, 90.00 degrees
Last column: nearest neighbours and their distance in Å.
Fractional coordinates of all 4 atoms:
1 Tl 0.5000 0.0000 0.5000  4 Cr 2.83
2 Cr 0.5000 0.5000 0.0000  4 Br 2.83
3 Cr 0.0000 0.0000 0.0000  4 Tl 2.83
4 Br 0.0000 0.5000 0.5000  4 Cr 2.83

=====

Entry 5:
A geometry-optimized TlCr2Br structure, computed with PBE-GGA.

Values from the calculation:
Its polymorph energy (0 for the lowest one) is 0.00 eV per formula unit. The space group is No. 99.

Cell lengths 3.3116, 3.3116, 8.1178 Å; angles 90.00, 90.00, 90.00 degrees
Last column: nearest neighbours and their distance in Å.
Fractional coordinates of all 4 atoms:
1 Br 0.5000 0.5000 0.8452  5 Cr 2.72-2.83
2 Tl 0.0000 0.0000 0.4333  5 Cr 3.11-3.19, 4 Tl 3.31
3 Cr 0.0000 0.0000 0.0408  4 Cr 2.60, 4 Br 2.83
4 Cr 0.5000 0.5000 0.1807  4 Cr 2.60, 1 Br 2.72

=====

Entry 6:
A geometry-optimized TlCr2Br structure, computed with PBE-GGA.

Values from the calculation:
Its polymorph energy (0 for the lowest one) is 0.52 eV per formula unit. The space group is No. 44.

Cell lengths 6.4943, 6.4943, 6.4943 Å; angles 150.50, 137.03, 52.98 degrees
Last column: nearest neighbours and their distance in Å.
Fractional coordinates of all 4 atoms:
1 Cr 0.1721 0.6721 0.5000  2 Cr 2.56
2 Cr 0.0037 0.0037 0.0000  2 Cr 2.56
3 Tl 0.5248 0.5248 0.0000  6 Cr 2.91-2.93
4 Br 0.7994 0.2994 0.5000  2 Cr 2.89

=====

Entry 7:
A geometry-optimized Tl3Cr5Br12 structure, computed with PBE-GGA.

Values from the calculation:
The space group is No. 230.

Cell lengths 14.8736, 14.8736, 14.8736 Å; angles 109.47, 109.47, 109.47 degrees
Last column: nearest neighbours and their distance in Å.
Fractional coordinates of all 80 atoms:
1 Cr 0.2500 0.8750 0.1250  4 Br 2.55
2 Cr 0.7500 0.6250 0.3750  4 Br 2.55
3 Cr 0.0000 0.5000 0.5000  6 Br 2.66
4 Cr 0.5000 0.5000 0.5000  6 Br 2.66
5 Cr 0.1250 0.3750 0.2500  4 Br 2.55
6 Cr 0.5000 0.0000 0.0000  6 Br 2.66
7 Cr 0.8750 0.6250 0.7500  4 Br 2.55
8 Cr 0.1250 0.7500 0.3750  4 Br 2.55
9 Cr 0.5000 0.5000 0.0000  6 Br 2.66
10 Cr 0.2500 0.3750 0.6250  4 Br 2.55
11 Cr 0.3750 0.2500 0.1250  4 Br 2.55
12 Cr 0.6250 0.7500 0.8750  4 Br 2.55
13 Cr 0.8750 0.2500 0.6250  4 Br 2.55
14 Cr 0.0000 0.5000 0.0000  6 Br 2.66
15 Cr 0.0000 0.0000 0.5000  6 Br 2.66
16 Cr 0.6250 0.8750 0.2500  4 Br 2.55
17 Cr 0.7500 0.1250 0.8750  4 Br 2.55
18 Cr 0.0000 0.0000 0.0000  6 Br 2.66
19 Cr 0.3750 0.1250 0.7500  4 Br 2.55
20 Cr 0.5000 0.0000 0.5000  6 Br 2.66
21 Tl 0.7500 0.3750 0.1250  8 Br 3.38-3.53
22 Tl 0.1250 0.8750 0.7500  8 Br 3.38-3.53
23 Tl 0.8750 0.1250 0.2500  8 Br 3.38-3.53
24 Tl 0.7500 0.8750 0.6250  8 Br 3.38-3.53
25 Tl 0.1250 0.2500 0.8750  8 Br 3.38-3.53
26 Tl 0.6250 0.2500 0.3750  8 Br 3.38-3.53
27 Tl 0.6250 0.3750 0.7500  8 Br 3.38-3.53
28 Tl 0.8750 0.7500 0.1250  8 Br 3.38-3.53
29 Tl 0.3750 0.7500 0.6250  8 Br 3.38-3.53
30 Tl 0.2500 0.1250 0.3750  8 Br 3.38-3.53
31 Tl 0.3750 0.6250 0.2500  8 Br 3.38-3.53
32 Tl 0.2500 0.6250 0.8750  8 Br 3.38-3.53
33 Br 0.8899 0.5815 0.9049  2 Cr 2.55-2.66
34 Br 0.9049 0.8234 0.5149  2 Cr 2.55-2.66
35 Br 0.0149 0.4049 0.8234  2 Cr 2.55-2.66
36 Br 0.1101 0.6916 0.5149  2 Cr 2.55-2.66
37 Br 0.5951 0.6101 0.4185  2 Cr 2.55-2.66
38 Br 0.4851 0.6766 0.0951  2 Cr 2.55-2.66
39 Br 0.5815 0.6916 0.6766  2 Cr 2.55-2.66
40 Br 0.0149 0.6101 0.6916  2 Cr 2.55-2.66
41 Br 0.9851 0.5951 0.1766  2 Cr 2.55-2.66
42 Br 0.3899 0.4049 0.0815  2 Cr 2.55-2.66
43 Br 0.8234 0.9185 0.3084  2 Cr 2.55-2.66
44 Br 0.0951 0.9185 0.1101  2 Cr 2.55-2.66
45 Br 0.6916 0.5815 0.1766  2 Cr 2.55-2.66
46 Br 0.3234 0.8084 0.4185  2 Cr 2.55-2.66
47 Br 0.3084 0.4185 0.8234  2 Cr 2.55-2.66
48 Br 0.6766 0.4851 0.5951  2 Cr 2.55-2.66
49 Br 0.9185 0.8234 0.8084  2 Cr 2.55-2.66
50 Br 0.5149 0.1916 0.1101  2 Cr 2.55-2.66
51 Br 0.6916 0.1101 0.0149  2 Cr 2.55-2.66
52 Br 0.0951 0.1766 0.4851  2 Cr 2.55-2.66
53 Br 0.5951 0.9851 0.6766  2 Cr 2.55-2.66
54 Br 0.4049 0.3899 0.5815  2 Cr 2.55-2.66
55 Br 0.6101 0.5951 0.9185  2 Cr 2.55-2.66
56 Br 0.1766 0.0951 0.9851  2 Cr 2.55-2.66
57 Br 0.8084 0.4851 0.3899  2 Cr 2.55-2.66
58 Br 0.4185 0.1101 0.5951  2 Cr 2.55-2.66
59 Br 0.8899 0.3084 0.4851  2 Cr 2.55-2.66
60 Br 0.8234 0.9049 0.0149  2 Cr 2.55-2.66
61 Br 0.5815 0.8899 0.4049  2 Cr 2.55-2.66
62 Br 0.4851 0.8084 0.8899  2 Cr 2.55-2.66
63 Br 0.1916 0.6766 0.0815  2 Cr 2.55-2.66
64 Br 0.9049 0.0815 0.8899  2 Cr 2.55-2.66
65 Br 0.3234 0.5149 0.4049  2 Cr 2.55-2.66
66 Br 0.4185 0.3084 0.3234  2 Cr 2.55-2.66
67 Br 0.4049 0.0149 0.3234  2 Cr 2.55-2.66
68 Br 0.1766 0.0815 0.6916  2 Cr 2.55-2.66
69 Br 0.6766 0.1916 0.5815  2 Cr 2.55-2.66
70 Br 0.5149 0.3234 0.9049  2 Cr 2.55-2.66
71 Br 0.0815 0.9049 0.3899  2 Cr 2.55-2.66
72 Br 0.0815 0.1766 0.1916  2 Cr 2.55-2.66
73 Br 0.3899 0.9851 0.8084  2 Cr 2.55-2.66
74 Br 0.6101 0.0149 0.1916  2 Cr 2.55-2.66
75 Br 0.9851 0.3899 0.3084  2 Cr 2.55-2.66
76 Br 0.8084 0.3234 0.9185  2 Cr 2.55-2.66
77 Br 0.9185 0.0951 0.6101  2 Cr 2.55-2.66
78 Br 0.3084 0.8899 0.9851  2 Cr 2.55-2.66
79 Br 0.1101 0.4185 0.0951  2 Cr 2.55-2.66
80 Br 0.1916 0.5149 0.6101  2 Cr 2.55-2.66

=====

Entry 8:
A geometry-optimized Tl2CrBr structure, computed with PBE-GGA.

Values from the calculation:
Its polymorph energy (0 for the lowest one) is 0.13 eV per formula unit. The space group is No. 99.

Cell lengths 3.4460, 3.4460, 9.0339 Å; angles 90.00, 90.00, 90.00 degrees
Last column: nearest neighbours and their distance in Å.
Fractional coordinates of all 4 atoms:
1 Tl 0.0000 0.0000 0.9533  4 Cr 3.12, 1 Br 3.45, 4 Tl 3.45
2 Tl 0.5000 0.5000 0.2371  8 Tl 3.45-3.54
3 Cr 0.5000 0.5000 0.7376  4 Br 2.86, 4 Tl 3.12
4 Br 0.0000 0.0000 0.5719  4 Cr 2.86

=====

Entry 9:
A geometry-optimized TlCr2Br structure, computed with PBE-GGA.

Values from the calculation:
Its polymorph energy (0 for the lowest one) is 1.48 eV per formula unit. The space group is No. 122.

Cell lengths 7.5786, 7.5786, 6.3140 Å; angles 53.12, 53.12, 90.00 degrees
Last column: nearest neighbours and their distance in Å.
Fractional coordinates of all 8 atoms:
1 Br 0.2500 0.7500 0.5000  4 Cr 2.71
2 Br 0.5000 0.5000 0.0000  4 Cr 2.71
3 Cr 0.1450 0.6250 0.2500  2 Br 2.71, 2 Tl 2.91
4 Cr 0.8750 0.8550 0.7500  2 Br 2.71, 2 Tl 2.91
5 Cr 0.6050 0.1250 0.2500  2 Br 2.71, 2 Tl 2.91
6 Cr 0.3750 0.3950 0.7500  2 Br 2.71, 2 Tl 2.91
7 Tl 0.0000 0.0000 0.0000  4 Cr 2.91
8 Tl 0.7500 0.2500 0.5000  4 Cr 2.91

=====

Entry 10:
A geometry-optimized TlCr2Br structure, computed with PBE-GGA.

Values from the calculation:
Its polymorph energy (0 for the lowest one) is 1.90 eV per formula unit. The space group is No. 225.

Cell lengths 4.9628, 4.9628, 4.9628 Å; angles 60.00, 60.00, 60.00 degrees
Last column: nearest neighbours and their distance in Å.
Fractional coordinates of all 4 atoms:
1 Tl 0.5000 0.5000 0.5000  8 Cr 3.04
2 Br 0.0000 0.0000 0.0000  8 Cr 3.04
3 Cr 0.7500 0.7500 0.7500  4 Tl 3.04, 4 Br 3.04
4 Cr 0.2500 0.2500 0.2500  4 Tl 3.04, 4 Br 3.04

=====

Entry 11:
A geometry-optimized Tl2CrBr6 structure, computed with PBE-GGA.

Values from the calculation:
Its polymorph energy (0 for the lowest one) is 0.09 eV per formula unit. The space group is No. 12.

Cell lengths 6.3514, 7.3092, 7.3092 Å; angles 60.13, 88.90, 88.90 degrees
Last column: nearest neighbours and their distance in Å.
Fractional coordinates of all 9 atoms:
1 Br 0.2249 0.8395 0.3170  1 Cr 2.48
2 Br 0.7751 0.1605 0.6830  1 Cr 2.48
3 Br 0.7751 0.6830 0.1605  1 Cr 2.48
4 Br 0.2249 0.3170 0.8395  1 Cr 2.48
5 Br 0.7713 0.1615 0.1615  1 Cr 2.48
6 Br 0.2287 0.8385 0.8385  1 Cr 2.48
7 Cr 0.0000 0.0000 0.0000  6 Br 2.48
8 Tl 0.8427 0.6697 0.6697  5 Br 3.28-3.65
9 Tl 0.1573 0.3303 0.3303  5 Br 3.28-3.65

=====

Entry 12:
A geometry-optimized Tl2CrBr structure, computed with PBE-GGA.

Values from the calculation:
Its polymorph energy (0 for the lowest one) is 0.21 eV per formula unit. The space group is No. 44.

Cell lengths 6.4020, 6.4020, 6.4020 Å; angles 148.67, 126.39, 63.42 degrees
Last column: nearest neighbours and their distance in Å.
Fractional coordinates of all 4 atoms:
1 Tl 0.9652 0.9652 0.0000  2 Cr 3.07
2 Tl 0.2528 0.7528 0.5000  4 Cr 3.37, 6 Tl 3.46-3.70, 4 Br 3.64-3.67
3 Br 0.5495 0.5495 0.0000  2 Cr 2.64
4 Cr 0.7324 0.2324 0.5000  2 Br 2.64

=====

Uncorrected energy in eV per atom, matching the order above: -3.71, -3.44, -3.78, -5.18, -5.54, -5.41, -4.37, -3.91, -5.17, -5.07, -3.39, -3.88
Mass density in g cm⁻³, matching the order above: 7.81, 5.19, 7.70, 6.87, 7.24, 7.05, 4.80, 8.37, 6.72, 7.46, 5.31, 8.26